Arrangement one

{"formula": "ErNiB4", "functional": "GGA-PBE", "state": "optimized geometry", "density_g_cm3": 7.50, "lattice": [[-3.7492, 3.7492, 4.2411], [3.7492, -3.7492, 4.2411], [3.7492, 3.7492, -4.2411]], "species": ["Er", "Er", "Er", "Er", "Ni", "Ni", "Ni", "Ni", "B", "B", "B", "B", "B", "B", "B", "B", "B", "B", "B", "B", "B", "B", "B", "B"], "fractional_positions": [[0.2028, 0.2028, 0.0000], [0.2500, 0.7500, 0.5000], [0.7500, 0.2500, 0.5000], [0.7972, 0.7972, 0.0000], [0.2707, 0.5000, 0.7707], [0.5000, 0.2707, 0.7707], [0.5000, 0.7293, 0.2293], [0.7293, 0.5000, 0.2293], [0.1111, 0.2754, 0.3864], [0.1111, 0.7246, 0.8357], [0.1138, 0.1138, 0.5337], [0.1138, 0.5801, 0.0000], [0.2754, 0.1111, 0.3864], [0.2754, 0.8889, 0.1643], [0.4199, 0.4199, 0.5337], [0.4199, 0.8862, 0.0000], [0.5801, 0.1138, 0.0000], [0.5801, 0.5801, 0.4663], [0.7246, 0.1111, 0.8357], [0.7246, 0.8889, 0.6136], [0.8862, 0.4199, 0.0000], [0.8862, 0.8862, 0.4663], [0.8889, 0.2754, 0.1643], [0.8889, 0.7246, 0.6136]]}

=====

Arrangement two

{"formula": "ErNiB4", "functional": "GGA-PBE", "state": "optimized geometry", "density_g_cm3": 7.45, "lattice": [[3.1339, 0.0000, 0.0000], [0.0000, 5.2642, 0.0000], [0.0000, 0.0000, 7.2735]], "species": ["Er", "Er", "Ni", "Ni", "B", "B", "B", "B", "B", "B", "B", "B"], "fractional_positions": [[0.0000, 0.0000, 0.0000], [0.5000, 0.5000, 0.5000], [0.0000, 0.0000, 0.5000], [0.5000, 0.5000, 0.0000], [0.0000, 0.3273, 0.2549], [0.0000, 0.3273, 0.7451], [0.0000, 0.6727, 0.2549], [0.0000, 0.6727, 0.7451], [0.5000, 0.1727, 0.2451], [0.5000, 0.1727, 0.7549], [0.5000, 0.8273, 0.2451], [0.5000, 0.8273, 0.7549]]}

=====

Arrangement three

{"formula": "ErNiB4", "functional": "GGA-PBE", "state": "optimized geometry", "density_g_cm3": 7.99, "lattice": [[3.1695, 0.0000, 0.0000], [-1.5847, 2.7449, 0.0000], [0.0000, 0.0000, 6.4301]], "species": ["Er", "Ni", "B", "B", "B", "B"], "fractional_positions": [[0.0000, 0.0000, 0.0000], [0.0000, 0.0000, 0.5000], [0.3333, 0.6667, 0.2907], [0.3333, 0.6667, 0.7093], [0.6667, 0.3333, 0.2907], [0.6667, 0.3333, 0.7093]]}

=====

Arrangement four

{"formula": "ErNiB4", "functional": "GGA-PBE", "state": "optimized geometry", "density_g_cm3": 7.86, "lattice": [[5.8725, 0.0000, 0.0000], [0.0000, 11.4058, 0.0000], [0.0000, 0.0000, 3.3967]], "species": ["Er", "Er", "Er", "Er", "Ni", "Ni", "Ni", "Ni", "B", "B", "B", "B", "B", "B", "B", "B", "B", "B", "B", "B", "B", "B", "B", "B"], "fractional_positions": [[0.1273, 0.1503, 0.0000], [0.3727, 0.6503, 0.0000], [0.6273, 0.3497, 0.0000], [0.8727, 0.8497, 0.0000], [0.1338, 0.4117, 0.0000], [0.3662, 0.9117, 0.0000], [0.6338, 0.0883, 0.0000], [0.8662, 0.5883, 0.0000], [0.0214, 0.6915, 0.5000], [0.1134, 0.5473, 0.5000], [0.1371, 0.9669, 0.5000], [0.2152, 0.8149, 0.5000], [0.2848, 0.3149, 0.5000], [0.3629, 0.4669, 0.5000], [0.3866, 0.0473, 0.5000], [0.4786, 0.1915, 0.5000], [0.5214, 0.8085, 0.5000], [0.6134, 0.9527, 0.5000], [0.6371, 0.5331, 0.5000], [0.7152, 0.6851, 0.5000], [0.7848, 0.1851, 0.5000], [0.8629, 0.0331, 0.5000], [0.8866, 0.4527, 0.5000], [0.9786, 0.3085, 0.5000]]}

=====

Most stable: arrangement one. Least stable: arrangement two.

=====

Arrangement one

{"formula": "ErNiB", "functional": "GGA-PBE", "state": "optimized geometry", "density_g_cm3": 7.37, "lattice": [[5.9764, 0.0000, 0.0000], [0.0000, 5.9764, 0.0000], [0.0000, 0.0000, 5.9764]], "species": ["Er", "Er", "Er", "Er", "Ni", "Ni", "Ni", "Ni", "B", "B", "B", "B"], "fractional_positions": [[0.0000, 0.0000, 0.0000], [0.0000, 0.5000, 0.5000], [0.5000, 0.0000, 0.5000], [0.5000, 0.5000, 0.0000], [0.2500, 0.2500, 0.2500], [0.2500, 0.7500, 0.7500], [0.7500, 0.2500, 0.7500], [0.7500, 0.7500, 0.2500], [0.2500, 0.2500, 0.7500], [0.2500, 0.7500, 0.2500], [0.7500, 0.2500, 0.2500], [0.7500, 0.7500, 0.7500]]}

=====

Arrangement two

{"formula": "ErNiB", "functional": "GGA-PBE", "state": "optimized geometry", "density_g_cm3": 8.57, "lattice": [[5.6827, 0.0000, 0.0000], [0.0000, 5.6827, 0.0000], [0.0000, 0.0000, 5.6827]], "species": ["Er", "Er", "Er", "Er", "Ni", "Ni", "Ni", "Ni", "B", "B", "B", "B"], "fractional_positions": [[0.0000, 0.0000, 0.0000], [0.0000, 0.5000, 0.5000], [0.5000, 0.0000, 0.5000], [0.5000, 0.5000, 0.0000], [0.0000, 0.0000, 0.5000], [0.0000, 0.5000, 0.0000], [0.5000, 0.0000, 0.0000], [0.5000, 0.5000, 0.5000], [0.2500, 0.2500, 0.2500], [0.2500, 0.7500, 0.7500], [0.7500, 0.2500, 0.7500], [0.7500, 0.7500, 0.2500]]}

=====

Most stable: arrangement two. Least stable: arrangement one.

=====

Arrangement one

{"formula": "ErNiB", "functional": "GGA-PBE", "state": "optimized geometry", "density_g_cm3": 9.07, "lattice": [[6.1895, 0.0000, 0.0000], [0.0000, 3.5258, 0.0000], [0.0000, 0.0000, 7.9430]], "species": ["Er", "Er", "Er", "Er", "Ni", "Ni", "Ni", "Ni", "B", "B", "B", "B"], "fractional_positions": [[0.0209, 0.2500, 0.1874], [0.4791, 0.7500, 0.6874], [0.5209, 0.2500, 0.3126], [0.9791, 0.7500, 0.8126], [0.1358, 0.2500, 0.5340], [0.3642, 0.7500, 0.0340], [0.6358, 0.2500, 0.9660], [0.8642, 0.7500, 0.4660], [0.1978, 0.7500, 0.4263], [0.3022, 0.2500, 0.9263], [0.6978, 0.7500, 0.0737], [0.8022, 0.2500, 0.5737]]}

=====

Arrangement two

{"formula": "ErNiB", "functional": "GGA-PBE", "state": "optimized geometry", "density_g_cm3": 8.24, "lattice": [[5.7580, 0.0000, 0.0000], [0.0000, 5.7580, 0.0000], [0.0000, 0.0000, 5.7580]], "species": ["Er", "Er", "Er", "Er", "Ni", "Ni", "Ni", "Ni", "B", "B", "B", "B"], "fractional_positions": [[0.0000, 0.0000, 0.0000], [0.0000, 0.5000, 0.5000], [0.5000, 0.0000, 0.5000], [0.5000, 0.5000, 0.0000], [0.2500, 0.2500, 0.7500], [0.2500, 0.7500, 0.2500], [0.7500, 0.2500, 0.2500], [0.7500, 0.7500, 0.7500], [0.0000, 0.0000, 0.5000], [0.0000, 0.5000, 0.0000], [0.5000, 0.0000, 0.0000], [0.5000, 0.5000, 0.5000]]}

=====

Most stable: arrangement one. Least stable: arrangement two.

=====

Arrangement one

{"formula": "PrErNi8B2", "functional": "GGA-PBE", "state": "optimized geometry", "density_g_cm3": 8.64, "lattice": [[5.0310, 0.0000, 0.0000], [-2.5155, 4.3570, 0.0000], [0.0000, 0.0000, 7.0054]], "species": ["Pr", "Er", "Ni", "Ni", "Ni", "Ni", "Ni", "Ni", "Ni", "Ni", "B", "B"], "fractional_positions": [[0.0000, 0.0000, 0.0000], [0.0000, 0.0000, 0.5000], [0.0000, 0.5000, 0.2966], [0.0000, 0.5000, 0.7034], [0.3333, 0.6667, 0.0000], [0.5000, 0.0000, 0.2966], [0.5000, 0.0000, 0.7034], [0.5000, 0.5000, 0.2966], [0.5000, 0.5000, 0.7034], [0.6667, 0.3333, 0.0000], [0.3333, 0.6667, 0.5000], [0.6667, 0.3333, 0.5000]]}

=====

Arrangement two

{"formula": "PrErNi8B2", "functional": "GGA-PBE", "state": "optimized geometry", "density_g_cm3": 8.66, "lattice": [[5.0346, 0.0000, 0.0000], [-2.5173, 4.3601, 0.0000], [0.0000, 0.0000, 6.9798]], "species": ["Pr", "Er", "Ni", "Ni", "Ni", "Ni", "Ni", "Ni", "Ni", "Ni", "B", "B"], "fractional_positions": [[0.0000, 0.0000, 0.0000], [0.0000, 0.0000, 0.5000], [0.0000, 0.5000, 0.2098], [0.0000, 0.5000, 0.7902], [0.3333, 0.6667, 0.5000], [0.5000, 0.0000, 0.2098], [0.5000, 0.0000, 0.7902], [0.5000, 0.5000, 0.2098], [0.5000, 0.5000, 0.7902], [0.6667, 0.3333, 0.5000], [0.3333, 0.6667, 0.0000], [0.6667, 0.3333, 0.0000]]}

=====

Most stable: arrangement one. Least stable: arrangement two.